The following is a GGA+U calculation of a relaxed structure of NiGe2O, from the Alexandria database.

Structure (extended XYZ):
```
8
Lattice="5.269 0.000 0.000 0.000 5.269 0.000 2.635 2.635 4.594" Properties=species:S:1:pos:R:3 pbc="T T T"
Ni 0.000 0.000 0.000
Ni 5.269 2.635 2.297
Ge 3.837 1.317 1.149
Ge 1.432 3.952 1.149
Ge 3.952 4.067 3.446
Ge 6.587 6.472 3.446
O 2.635 2.635 0.000
O 2.635 5.269 2.297
```

Summary:
As for the crystal system: tetragonal. Its uncorrected energy is -4.16 eV per atom.